Entry 1:
Material: Be4CrRh5
Method: DFT, PBE
State: relaxed

Cell and atoms, written as POSCAR:
```
Be4CrRh5
1.0
2.786 0.000 0.000
0.000 2.786 0.000
0.000 0.000 14.464
Be Cr Rh
4 1 5
Direct
0.000 0.000 0.216
0.000 0.000 0.404
0.000 0.000 0.596
0.000 0.000 0.784
0.000 0.000 0.000
0.500 0.500 0.114
0.500 0.500 0.307
0.500 0.500 0.500
0.500 0.500 0.693
0.500 0.500 0.886
```

- final energy (eV per cell) = -66.46
- DFT formation energy (meV per atom) = -517



Entry 2:
Material: BeCr2Rh
Method: DFT, PBE
State: relaxed

Cell and atoms, written as POSCAR:
```
BeCr2Rh
1.0
-3.959 -1.337 -0.096
0.363 -0.782 -4.090
0.889 -2.676 0.591
Cr Rh Be
2 1 1
Direct
0.000 0.000 0.000
0.500 0.500 0.000
0.500 0.000 0.500
0.000 0.500 0.500
```

- final energy (eV per cell) = -29.48
- DFT formation energy (meV per atom) = 211
- energy above the most stable polymorph in this dataset (kJ/mol of formula units) = 151



Entry 3:
Material: BeCr2Rh
Method: DFT, PBE
State: relaxed

Cell and atoms, written as POSCAR:
```
BeCr2Rh
1.0
-3.137 -2.126 -0.716
1.488 -1.897 -0.888
0.603 -2.273 4.106
Cr Rh Be
2 1 1
Direct
0.000 0.037 0.983
0.500 0.202 0.239
0.000 0.577 0.507
0.500 0.684 0.772
```

- final energy (eV per cell) = -30.40
- DFT formation energy (meV per atom) = -18
- energy above the most stable polymorph in this dataset (kJ/mol of formula units) = 63



Entry 4:
Material: BeCrRh
Method: DFT, PBE
State: relaxed

Cell and atoms, written as POSCAR:
```
BeCrRh
1.0
-4.070 0.281 2.652
-3.815 -2.344 1.905
0.703 -0.661 2.565
Cr Rh Be
1 1 1
Direct
0.342 0.342 0.658
0.656 0.656 0.344
0.002 0.002 0.998
```

- final energy (eV per cell) = -21.35
- DFT formation energy (meV per atom) = -215
- energy above the most stable polymorph in this dataset (kJ/mol of formula units) = 0



Q: What is the final energy in the first record?
A: -66.46 eV per cell



Q: Among the records above, which one has the lowest final energy?
A: Be4CrRh5